[1]
Entry from the Alexandria database: crystalline CrW2C at its relaxed geometry (PBE).

The calculation puts the formation energy at 0.753 eV per atom. As for the total energy: -10.435 eV/atom. The value obtained for the polymorph energy (0 for the lowest one) is 8.25 kcal/mol of atoms.

The structure belongs to space group R-3m (No. 166, hexagonal axes); the cell edges are 2.8724, 2.8724 and 22.9983 Å and the angles 90.00°, 90.00° and 120.00°. The asymmetric unit holds Cr at (0.0000, 0.0000, 0.0000), W at (0.0000, 0.0000, 0.1075) and C at (0.0000, 0.0000, 0.5000).

***

[2]
Entry from the Alexandria database: crystalline Cr22WC6 at its relaxed geometry (PBE).

The calculation puts the formation energy at -0.058 eV per atom. As for the total energy: -9.713 eV/atom.

The structure belongs to space group Fm-3m (No. 225); the cell edges are 10.611, 10.611 and 10.611 Å and the angles 90.00°, 90.00° and 90.00°. The asymmetric unit holds Cr at (0.000, 0.173, 0.173), Cr at (0.119, 0.119, 0.381), Cr at (0.250, 0.250, 0.250), W at (0.000, 0.000, 0.000) and C at (0.000, 0.000, 0.277).

***

[3]
Entry from the Alexandria database: crystalline CrW2C at its relaxed geometry (PBE).

The calculation puts the formation energy at 0.396 eV per atom. As for the total energy: -10.793 eV/atom. The value obtained for the polymorph energy (0 for the lowest one) is 0.00 kcal/mol of atoms.

The structure belongs to space group I-42d (No. 122); the cell edges are 7.197, 7.197 and 4.160 Å and the angles 90.00°, 90.00° and 90.00°. The asymmetric unit holds Cr at (0.000, 0.000, 0.000), W at (0.133, 0.250, 0.625) and C at (0.000, 0.000, 0.500).

***

[4]
Entry from the Alexandria database: crystalline CrWC3 at its relaxed geometry (PBE).

The calculation puts the formation energy at 2.025 eV per atom. As for the total energy: -8.024 eV/atom. The value obtained for the polymorph energy (0 for the lowest one) is 0.00 kcal/mol of atoms.

The structure belongs to space group Pm-3m (No. 221); the cell edges are 3.719, 3.719 and 3.719 Å and the angles 90.00°, 90.00° and 90.00°. The asymmetric unit holds Cr at (0.000, 0.000, 0.000), W at (0.500, 0.500, 0.500) and C at (0.000, 0.000, 0.500).

***

[5]
Entry from the Alexandria database: crystalline Cr3WC at its relaxed geometry (PBE).

The calculation puts the formation energy at 0.115 eV per atom. As for the total energy: -10.094 eV/atom. The value obtained for the polymorph energy (0 for the lowest one) is 0.00 kcal/mol of atoms.

The structure belongs to space group Pm-3m (No. 221); the cell edges are 3.868, 3.868 and 3.868 Å and the angles 90.00°, 90.00° and 90.00°. The asymmetric unit holds Cr at (0.000, 0.000, 0.500), W at (0.500, 0.500, 0.500) and C at (0.000, 0.000, 0.000).

***

[6]
Entry from the Alexandria database: crystalline Cr3WC at its relaxed geometry (PBE).

The calculation puts the formation energy at 3.066 eV per atom. As for the total energy: -7.144 eV/atom. The value obtained for the polymorph energy (0 for the lowest one) is 68.04 kcal/mol of atoms.

The structure belongs to space group Pm-3m (No. 221); the cell edges are 4.481, 4.481 and 4.481 Å and the angles 90.00°, 90.00° and 90.00°. The asymmetric unit holds Cr at (0.000, 0.000, 0.500), W at (0.000, 0.000, 0.000) and C at (0.500, 0.500, 0.500).

***

[7]
Entry from the Alexandria database: crystalline Y3CrC at its relaxed geometry (PBE).

The calculation puts the formation energy at 0.091 eV per atom. As for the total energy: -7.557 eV/atom. The value obtained for the polymorph energy (0 for the lowest one) is 0.00 kcal/mol of atoms.

The structure belongs to space group Pm-3m (No. 221); the cell edges are 4.935, 4.935 and 4.935 Å and the angles 90.00°, 90.00° and 90.00°. The asymmetric unit holds Y at (0.000, 0.000, 0.500), Cr at (0.500, 0.500, 0.500) and C at (0.000, 0.000, 0.000).

***

[8]
Entry from the Alexandria database: crystalline Y2CrC2 at its relaxed geometry (PBE).

The calculation puts the formation energy at -0.264 eV per atom. As for the total energy: -8.464 eV/atom.

The structure belongs to space group C2/m (No. 12); the cell edges are 10.982, 5.078 and 6.655 Å and the angles 90.00°, 119.17° and 90.00°. The asymmetric unit holds Y at (0.036, 0.000, 0.278), Y at (0.182, 0.500, 0.119), Cr at (0.134, 0.500, 0.629), C at (0.007, 0.500, 0.290) and C at (0.189, 0.000, 0.117).

***

[9]
Entry from the Alexandria database: crystalline Y2Cr2C at its relaxed geometry (PBE).

The calculation puts the formation energy at 0.693 eV per atom. As for the total energy: -7.587 eV/atom. The value obtained for the polymorph energy (0 for the lowest one) is 0.00 kcal/mol of atoms.

The structure belongs to space group P4/mbm (No. 127); the cell edges are 5.593, 5.593 and 5.132 Å and the angles 90.00°, 90.00° and 90.00°. The asymmetric unit holds Y at (0.173, 0.327, 0.000), Cr at (0.167, 0.667, 0.500) and C at (0.000, 0.000, 0.500).

***

[10]
Entry from the Alexandria database: crystalline Y2Cr2C at its relaxed geometry (PBE).

The calculation puts the formation energy at 0.984 eV per atom. As for the total energy: -7.296 eV/atom. The value obtained for the polymorph energy (0 for the lowest one) is 6.72 kcal/mol of atoms.

The structure belongs to space group I4/mmm (No. 139); the cell edges are 5.585, 5.585 and 6.442 Å and the angles 90.00°, 90.00° and 90.00°. The asymmetric unit holds Y at (0.000, 0.500, 0.250), Cr at (0.000, 0.000, 0.208) and C at (0.000, 0.000, 0.500).

***

[11]
Entry from the Alexandria database: crystalline Y2Cr2C3 at its relaxed geometry (PBE).

The calculation puts the formation energy at -0.313 eV per atom. As for the total energy: -8.863 eV/atom.

The structure belongs to space group C2/m (No. 12); the cell edges are 10.417, 3.407 and 5.563 Å and the angles 90.00°, 105.85° and 90.00°. The asymmetric unit holds Y at (0.105, 0.000, 0.317), Cr at (0.157, 0.500, 0.891), C at (0.000, 0.500, 0.000) and C at (0.212, 0.000, 0.773).

***

[12]
Entry from the Alexandria database: crystalline Yb2Cr2C3 at its relaxed geometry (PBE).

The calculation puts the formation energy at -0.181 eV per atom. As for the total energy: -7.320 eV/atom.

The structure belongs to space group C2/m (No. 12); the cell edges are 10.245, 3.541 and 5.530 Å and the angles 90.00°, 106.36° and 90.00°. The asymmetric unit holds Yb at (0.100, 0.000, 0.315), Cr at (0.158, 0.500, 0.899), C at (0.000, 0.500, 0.000) and C at (0.192, 0.000, 0.786).

***

[13]
Entry from the Alexandria database: crystalline Zn2CrC at its relaxed geometry (PBE).

The calculation puts the formation energy at 0.401 eV per atom. As for the total energy: -4.948 eV/atom.

The structure belongs to space group P1 (No. 1); the cell edges are 4.487, 4.567 and 5.187 Å and the angles 93.21°, 105.04° and 91.69°. The asymmetric unit holds Zn at (0.000, 0.000, 0.000), Zn at (0.045, 0.434, 0.426), Zn at (0.460, 0.188, 0.839), Zn at (0.544, 0.664, 0.073), Cr at (0.526, 0.170, 0.358), Cr at (0.586, 0.679, 0.575), C at (0.223, 0.918, 0.477) and C at (0.897, 0.925, 0.489).

***

[14]
Entry from the Alexandria database: crystalline Zn2CrC at its relaxed geometry (PBE).

The calculation puts the formation energy at 0.432 eV per atom. As for the total energy: -4.916 eV/atom.

The structure belongs to space group C2/m (No. 12); the cell edges are 5.105, 8.547 and 4.576 Å and the angles 90.00°, 96.62° and 90.00°. The asymmetric unit holds Zn at (0.143, 0.158, 0.273), Cr at (0.100, 0.500, 0.275) and C at (0.000, 0.340, 0.000).

***

[15]
Entry from the Alexandria database: crystalline Zn2CrC at its relaxed geometry (PBE).

The calculation puts the formation energy at 0.283 eV per atom. As for the total energy: -5.066 eV/atom.

The structure belongs to space group Cm (No. 8); the cell edges are 9.288, 2.762 and 7.918 Å and the angles 90.00°, 101.15° and 90.00°. The asymmetric unit holds Zn at (0.000, 0.000, 0.000), Zn at (0.014, 0.000, 0.606), Zn at (0.211, 0.500, 0.848), Zn at (0.272, 0.000, 0.559), Cr at (0.085, 0.500, 0.306), Cr at (0.290, 0.000, 0.131), C at (0.285, 0.500, 0.314) and C at (0.425, 0.500, 0.273).

***

[16]
Entry from the Alexandria database: crystalline ZnCrC3 at its relaxed geometry (PBE).

The calculation puts the formation energy at 1.772 eV per atom. As for the total energy: -5.942 eV/atom. The value obtained for the polymorph energy (0 for the lowest one) is 0.00 kcal/mol of atoms.

The structure belongs to space group Pm-3m (No. 221); the cell edges are 3.834, 3.834 and 3.834 Å and the angles 90.00°, 90.00° and 90.00°. The asymmetric unit holds Zn at (0.000, 0.000, 0.000), Cr at (0.500, 0.500, 0.500) and C at (0.000, 0.500, 0.500).

***

[17]
Entry from the Alexandria database: crystalline ZnCr3C at its relaxed geometry (PBE).

The calculation puts the formation energy at 2.441 eV per atom. As for the total energy: -5.432 eV/atom. The value obtained for the polymorph energy (0 for the lowest one) is 53.03 kcal/mol of atoms.

The structure belongs to space group Pm-3m (No. 221); the cell edges are 4.633, 4.633 and 4.633 Å and the angles 90.00°, 90.00° and 90.00°. The asymmetric unit holds Zn at (0.000, 0.000, 0.000), Cr at (0.000, 0.000, 0.500) and C at (0.500, 0.500, 0.500).

***

[18]
Entry from the Alexandria database: crystalline Zn2CrC at its relaxed geometry (PBE).

The calculation puts the formation energy at 0.462 eV per atom. As for the total energy: -4.887 eV/atom.

The structure belongs to space group P1 (No. 1); the cell edges are 4.405, 4.921 and 5.319 Å and the angles 106.80°, 100.21° and 92.18°. The asymmetric unit holds Zn at (0.000, 0.000, 0.000), Zn at (0.020, 0.510, 0.666), Zn at (0.431, 0.971, 0.688), Zn at (0.613, 0.241, 0.286), Cr at (0.065, 0.573, 0.201), Cr at (0.578, 0.633, 0.020), C at (0.267, 0.322, 0.951) and C at (0.399, 0.864, 0.286).

***

[19]
Entry from the Alexandria database: crystalline Zn2CrC at its relaxed geometry (PBE).

The calculation puts the formation energy at 0.225 eV per atom. As for the total energy: -5.124 eV/atom.

The structure belongs to space group Cm (No. 8); the cell edges are 16.404, 2.766 and 4.412 Å and the angles 90.00°, 96.12° and 90.00°. The asymmetric unit holds Zn at (0.000, 0.000, 0.000), Zn at (0.037, 0.500, 0.527), Zn at (0.315, 0.500, 0.902), Zn at (0.398, 0.500, 0.438), Cr at (0.168, 0.000, 0.833), Cr at (0.258, 0.000, 0.377), C at (0.169, 0.500, 0.486) and C at (0.174, 0.500, 0.172).

***

[20]
Entry from the Alexandria database: crystalline Zn2CrC at its relaxed geometry (PBE).

The calculation puts the formation energy at 0.310 eV per atom. As for the total energy: -5.039 eV/atom.

The structure belongs to space group P3m1 (No. 156); the cell edges are 2.8390, 2.8390 and 6.8688 Å and the angles 90.00°, 90.00° and 120.00°. The asymmetric unit holds Zn at (0.0000, 0.0000, 0.0000), Zn at (0.3333, 0.6667, 0.3185), Cr at (0.0000, 0.0000, 0.6287) and C at (0.3333, 0.6667, 0.7765).